Sr3GaHg2Au6 PBE optimized geometry; space-group type = P-3m1; raw total energy = -2.87 eV/atom; density = 10443 kg/m³
1.0
6.2958 0.0000 0.0000
-3.1479 5.4523 0.0000
0.0000 0.0000 8.8732
Sr Ga Hg Au
3 1 2 6
direct
0.3333 0.6667 0.6215
0.6667 0.3333 0.3785
0.0000 0.0000 0.0000
0.0000 0.0000 0.5000
0.6667 0.3333 0.9921
0.3333 0.6667 0.0079
0.6441 0.8220 0.2950
0.1780 0.3559 0.2950
0.1780 0.8220 0.2950
0.8220 0.6441 0.7050
0.3559 0.1780 0.7050
0.8220 0.1780 0.7050